1.
The following is a PBE calculation of a relaxed TbPRh3 crystal, from the Alexandria database.

DFT total energy (eV per atom): -7.327
Magnetization (μB per cell): 0.000
Energy above the most stable polymorph in this dataset (meV/atom): 0

Cell lengths 4.008, 4.008, 10.426 Å; angles 90.00, 90.00, 90.00 degrees
Fractional positions:
Tb 0.000 0.000 0.000
Tb 0.500 0.500 0.500
P 0.000 0.000 0.634
P 0.500 0.500 0.134
Rh 0.000 0.000 0.423
Rh 0.000 0.500 0.245
Rh 0.000 0.500 0.745
Rh 0.500 0.000 0.245
Rh 0.500 0.000 0.745
Rh 0.500 0.500 0.923

***

2.
The following is a PBE calculation of a relaxed VCo2Mo crystal, from the Alexandria database.

DFT total energy (eV per atom): -8.594
Magnetization (μB per cell): 0.000
Energy above the most stable polymorph in this dataset (meV/atom): 0

Cell lengths 3.690, 3.690, 3.634 Å; angles 90.00, 90.00, 90.00 degrees
Fractional positions:
V 0.000 0.000 0.000
Co 0.000 0.500 0.500
Co 0.500 0.000 0.500
Mo 0.500 0.500 0.000

***

3.
The following is a PBE calculation of a relaxed Tb5Pr4Y4 crystal, from the Alexandria database.

DFT total energy (eV per atom): -5.222
Magnetization (μB per cell): 0.000

Cell lengths 9.570, 9.570, 9.570 Å; angles 94.06, 94.06, 149.13 degrees
Fractional positions:
Tb 0.000 0.000 0.000
Tb 0.311 0.539 0.850
Tb 0.461 0.311 0.772
Tb 0.539 0.689 0.228
Tb 0.689 0.461 0.150
Pr 0.078 0.382 0.461
Pr 0.382 0.922 0.304
Pr 0.618 0.078 0.696
Pr 0.922 0.618 0.539
Y 0.153 0.771 0.924
Y 0.229 0.153 0.382
Y 0.771 0.847 0.618
Y 0.847 0.229 0.076

***

4.
The following is a PBE calculation of a relaxed MoH2W2 crystal, from the Alexandria database.

DFT total energy (eV per atom): -8.428
Magnetization (μB per cell): 0.000

Cell lengths 3.141, 3.141, 10.956 Å; angles 90.00, 90.00, 90.00 degrees
Fractional positions:
Mo 0.000 0.000 0.000
Mo 0.500 0.500 0.500
H 0.000 0.500 0.250
H 0.000 0.500 0.750
H 0.500 0.000 0.250
H 0.500 0.000 0.750
W 0.000 0.000 0.352
W 0.000 0.000 0.648
W 0.500 0.500 0.148
W 0.500 0.500 0.852

***

5.
The following is a PBE calculation of a relaxed Cs4Pm3InTe8 crystal, from the Alexandria database.

DFT total energy (eV per atom): -4.031
Formation energy from raw total energies (eV per atom): -1.19
Magnetization (μB per cell): 0.000

Cell lengths 10.418, 10.418, 10.418 Å; angles 52.74, 52.74, 52.74 degrees
Fractional positions:
Cs 0.000 0.000 0.000
Cs 0.000 0.500 0.500
Cs 0.500 0.000 0.500
Cs 0.500 0.500 0.000
Pm 0.000 0.000 0.500
Pm 0.000 0.500 0.000
Pm 0.500 0.000 0.000
In 0.500 0.500 0.500
Te 0.232 0.232 0.232
Te 0.238 0.726 0.726
Te 0.274 0.274 0.762
Te 0.274 0.762 0.274
Te 0.726 0.238 0.726
Te 0.726 0.726 0.238
Te 0.762 0.274 0.274
Te 0.768 0.768 0.768

***

6.
The following is a PBE calculation of a relaxed PrYTlGa crystal, from the Alexandria database.

DFT total energy (eV per atom): -4.605
Magnetization (μB per cell): 0.000
Energy above the most stable polymorph in this dataset (meV/atom): 35

Cell lengths 7.546, 7.546, 7.546 Å; angles 90.00, 90.00, 90.00 degrees
Fractional positions:
Pr 0.000 0.000 0.000
Pr 0.000 0.500 0.500
Pr 0.500 0.000 0.500
Pr 0.500 0.500 0.000
Y 0.000 0.000 0.500
Y 0.000 0.500 0.000
Y 0.500 0.000 0.000
Y 0.500 0.500 0.500
Tl 0.250 0.250 0.250
Tl 0.250 0.750 0.750
Tl 0.750 0.250 0.750
Tl 0.750 0.750 0.250
Ga 0.250 0.250 0.750
Ga 0.250 0.750 0.250
Ga 0.750 0.250 0.250
Ga 0.750 0.750 0.750

***

7.
The following is a PBE calculation of a relaxed Y2MgP crystal, from the Alexandria database.

DFT total energy (eV per atom): -5.391
Magnetization (μB per cell): 0.000
Energy above the most stable polymorph in this dataset (meV/atom): 370

Cell lengths 8.025, 8.025, 6.708 Å; angles 90.00, 90.00, 90.00 degrees
Fractional positions:
Y 0.202 0.250 0.125
Y 0.250 0.702 0.375
Y 0.250 0.798 0.875
Y 0.298 0.250 0.625
Y 0.702 0.750 0.625
Y 0.750 0.202 0.875
Y 0.750 0.298 0.375
Y 0.798 0.750 0.125
Mg 0.000 0.000 0.500
Mg 0.000 0.500 0.750
Mg 0.500 0.000 0.250
Mg 0.500 0.500 0.000
P 0.000 0.000 0.000
P 0.000 0.500 0.250
P 0.500 0.000 0.750
P 0.500 0.500 0.500

***

8.
The following is a PBE calculation of a relaxed Pr6In3Co crystal, from the Alexandria database.

DFT total energy (eV per atom): -4.633
Magnetization (μB per cell): 0.000

Cell lengths 5.559, 9.410, 12.724 Å; angles 90.00, 115.79, 90.00 degrees
Fractional positions:
Pr 0.055 0.188 0.061
Pr 0.055 0.312 0.561
Pr 0.239 0.509 0.230
Pr 0.239 0.991 0.730
Pr 0.419 0.155 0.432
Pr 0.419 0.345 0.932
Pr 0.581 0.655 0.068
Pr 0.581 0.845 0.568
Pr 0.761 0.009 0.270
Pr 0.761 0.491 0.770
Pr 0.945 0.688 0.439
Pr 0.945 0.812 0.939
In 0.238 0.656 0.745
In 0.238 0.844 0.245
In 0.500 0.000 0.000
In 0.500 0.500 0.500
In 0.762 0.156 0.755
In 0.762 0.344 0.255
Co 0.000 0.000 0.500
Co 0.000 0.500 0.000